An optimized crystal structure of CaIrW2. Source: the Alexandria database, functional GGA-PBE.

The structure in CIF format:
```
data_CaIrW2
_symmetry_space_group_name_H-M 'P 1'
_symmetry_Int_Tables_number 1
_symmetry_space_group_name_Hall 'P 1'
_cell_length_a 4.213
_cell_length_b 2.853
_cell_length_c 6.382
_cell_angle_alpha 75.97
_cell_angle_beta 90.00
_cell_angle_gamma 90.00
loop_
_atom_site_label
_atom_site_type_symbol
_atom_site_fract_x
_atom_site_fract_y
_atom_site_fract_z
Ca1 Ca 0.000 0.488 0.509
Ir1 Ir 0.500 0.779 0.796
W1 W 0.000 0.027 0.996
W2 W 0.500 0.206 0.199
```

- Formation energy: 0.43 eV/atom
- Symmetry: No. 6
- Excess energy over the best structure of this formula in the dataset: 133.2 meV/atom